Crystalline Hf3IrN at its relaxed geometry. Source: Alexandria via LeMat-Bulk, functional PBE-GGA.

a = 11.4048 Å, b = 7.9187 Å, c = 7.9187 Å
α = 83.59°, β = 125.92°, γ = 54.08°
Last column: nearest neighbours and their distance in Å.
Fractional coordinates of all 20 atoms:
Ir (0.0534, 0.5412, 0.3071)  8 Hf 2.68-3.00
Ir (0.4466, 0.8071, 0.0412)  8 Hf 2.68-3.00
Ir (0.9466, 0.4588, 0.6929)  8 Hf 2.68-3.00
Ir (0.5534, 0.1929, 0.9588)  8 Hf 2.68-3.00
Hf (0.3954, 0.4105, 0.4448)  3 N 2.21-2.24
Hf (0.1046, 0.9448, 0.9105)  3 N 2.21-2.24
Hf (0.6046, 0.5895, 0.5552)  3 N 2.21-2.24
Hf (0.8954, 0.0552, 0.0895)  3 N 2.21-2.24
Hf (0.0985, 0.2272, 0.1710)  2 N 2.21-2.30
Hf (0.4015, 0.6710, 0.7272)  2 N 2.21-2.30
Hf (0.9015, 0.7728, 0.8290)  2 N 2.21-2.30
Hf (0.5985, 0.3290, 0.2728)  2 N 2.21-2.30
Hf (0.5438, 0.9124, 0.8041)  1 N 2.42, 1 Ir 2.68
Hf (0.9562, 0.3041, 0.4124)  1 N 2.42, 1 Ir 2.68
Hf (0.4562, 0.0876, 0.1959)  1 N 2.42, 1 Ir 2.68
Hf (0.0438, 0.6959, 0.5876)  1 N 2.42, 1 Ir 2.68
N (0.7500, 0.1874, 0.6874)  6 Hf 2.22-2.30
N (0.2500, 0.8126, 0.3126)  6 Hf 2.22-2.30
N (0.7500, 0.4544, 0.9544)  6 Hf 2.21-2.42
N (0.2500, 0.5456, 0.0456)  6 Hf 2.21-2.42

## Properties
Volume   84.3 Å³/f.u.
Calculated total energy   -10.4383 eV/atom
SG   No. 15
Formation energy without anion corrections   -1.029 eV per atom
Magnetic moment   0.00 μB per cell

Crystalline Hf12Ir5N2 at its relaxed geometry. Source: Alexandria via LeMat-Bulk, functional PBE-GGA.

a = 6.5410 Å, b = 8.2057 Å, c = 8.0178 Å
α = 104.16°, β = 90.00°, γ = 113.49°
Last column: nearest neighbours and their distance in Å.
Fractional coordinates of all 19 atoms:
Hf (0.9940, 0.9881, 0.1764)  2 N 2.25
Hf (0.0827, 0.6777, 0.9113)  1 N 2.34
Hf (0.5950, 0.6777, 0.9113)  1 N 2.34
Hf (0.0987, 0.7063, 0.4329)  4 Ir 2.65-2.76
Hf (0.6076, 0.7063, 0.4329)  4 Ir 2.65-2.76
Hf (0.4998, 0.9997, 0.8034)  2 N 2.20
Hf (0.5002, 0.0003, 0.1966)  2 N 2.20
Hf (0.9013, 0.2937, 0.5671)  4 Ir 2.65-2.76
Hf (0.3924, 0.2937, 0.5671)  4 Ir 2.65-2.76
Hf (0.9173, 0.3223, 0.0887)  1 N 2.34
Hf (0.4050, 0.3223, 0.0887)  1 N 2.34
Hf (0.0060, 0.0119, 0.8236)  2 N 2.25
Ir (0.3014, 0.6029, 0.6469)  7 Hf 2.64-2.91
Ir (0.3149, 0.6298, 0.1616)  7 Hf 2.68-2.74
Ir (0.0000, 0.0000, 0.5000)  6 Hf 2.57-2.67
Ir (0.6851, 0.3702, 0.8384)  7 Hf 2.68-2.74
Ir (0.6986, 0.3971, 0.3531)  7 Hf 2.64-2.91
N (0.7348, 0.0000, 0.0000)  6 Hf 2.20-2.34
N (0.2652, 0.0000, 0.0000)  6 Hf 2.20-2.34

## Properties
Volume   380.4 Å³/f.u.
Calculated total energy   -10.2390 eV/atom
SG   No. 12
Formation energy without anion corrections   -0.744 eV per atom
Magnetic moment   0.00 μB per cell

Crystalline Hf4Ir2N at its relaxed geometry. Source: Alexandria via LeMat-Bulk, functional PBE-GGA.

a = 3.1294 Å, b = 5.4887 Å, c = 7.6440 Å
α = 112.24°, β = 101.81°, γ = 90.00°
Last column: nearest neighbours and their distance in Å.
Fractional coordinates of all 7 atoms:
Hf (0.9092, 0.2382, 0.8184)  1 N 2.22
Hf (0.0908, 0.7618, 0.1816)  1 N 2.22
Hf (0.5982, 0.2599, 0.1964)  2 N 2.24
Hf (0.4018, 0.7401, 0.8036)  2 N 2.24
Ir (0.7472, 0.7610, 0.4945)  6 Hf 2.79-2.83, 2 Ir 3.03
Ir (0.2528, 0.2390, 0.5055)  6 Hf 2.79-2.83, 2 Ir 3.03
N (0.0000, 0.0000, 0.0000)  6 Hf 2.22-2.24

## Properties
Energy relative to the lowest polymorph listed for this composition   211 meV/atom
Volume   118.5 Å³/f.u.
Calculated total energy   -10.1372 eV/atom
SG   No. 12
Formation energy without anion corrections   -0.728 eV per atom
Magnetic moment   0.00 μB per cell

Crystalline Hf3IrN at its relaxed geometry. Source: Alexandria via LeMat-Bulk, functional PBE-GGA.

a = 4.7601 Å, b = 4.7601 Å, c = 8.4993 Å
α = 90.00°, β = 90.00°, γ = 120.00°
Last column: nearest neighbours and their distance in Å.
Fractional coordinates of all 10 atoms:
Ir (0.3333, 0.6667, 0.7500)  5 Hf 2.72-2.75
Ir (0.6667, 0.3333, 0.2500)  5 Hf 2.72-2.75
Hf (0.0000, 0.0000, 0.2500)  2 N 2.12
Hf (0.0000, 0.0000, 0.7500)  2 N 2.12
Hf (0.3333, 0.6667, 0.0706)  1 Ir 2.72, 3 N 2.81, 4 Hf 3.00-3.05
Hf (0.3333, 0.6667, 0.4294)  1 Ir 2.72, 3 N 2.81, 4 Hf 3.00-3.05
Hf (0.6667, 0.3333, 0.5706)  1 Ir 2.72, 3 N 2.81, 4 Hf 3.00-3.05
Hf (0.6667, 0.3333, 0.9294)  1 Ir 2.72, 3 N 2.81, 4 Hf 3.00-3.05
N (0.0000, 0.0000, 0.0000)  2 Hf 2.12
N (0.0000, 0.0000, 0.5000)  2 Hf 2.12

## Properties
Volume   83.4 Å³/f.u.
Calculated total energy   -9.9442 eV/atom
SG   No. 194
Formation energy without anion corrections   -0.535 eV per atom
Magnetic moment   0.00 μB per cell

Crystalline Hf3IrN at its relaxed geometry. Source: Alexandria via LeMat-Bulk, functional PBE-GGA.

a = 3.9570 Å, b = 3.9570 Å, c = 13.8191 Å
α = 90.00°, β = 90.00°, γ = 120.00°
Last column: nearest neighbours and their distance in Å.
Fractional coordinates of all 10 atoms:
Ir (0.0000, 0.0000, 0.0000)  6 Hf 2.62
Ir (0.0000, 0.0000, 0.5000)  6 Hf 2.62
Hf (0.0000, 0.0000, 0.2500)  3 N 2.28
Hf (0.0000, 0.0000, 0.7500)  3 N 2.28
Hf (0.3333, 0.6667, 0.9072)  1 N 2.17
Hf (0.3333, 0.6667, 0.5928)  1 N 2.17
Hf (0.6667, 0.3333, 0.4072)  1 N 2.17
Hf (0.6667, 0.3333, 0.0928)  1 N 2.17
N (0.3333, 0.6667, 0.7500)  5 Hf 2.17-2.28
N (0.6667, 0.3333, 0.2500)  5 Hf 2.17-2.28

## Properties
Volume   93.7 Å³/f.u.
Calculated total energy   -10.2604 eV/atom
SG   No. 194
Formation energy without anion corrections   -0.851 eV per atom
Magnetic moment   0.00 μB per cell

Crystalline Hf3IrN at its relaxed geometry. Source: Alexandria via LeMat-Bulk, functional PBE-GGA.

a = 6.9738 Å, b = 6.9738 Å, c = 6.9738 Å
α = 49.28°, β = 49.28°, γ = 49.28°
Last column: nearest neighbours and their distance in Å.
Fractional coordinates of all 10 atoms:
Ir (0.3412, 0.3412, 0.3412)  6 Hf 2.63-2.69
Ir (0.6588, 0.6588, 0.6588)  6 Hf 2.63-2.69
Hf (0.4388, 0.0760, 0.7797)  2 N 2.23-2.31
Hf (0.0760, 0.7797, 0.4388)  2 N 2.23-2.31
Hf (0.2203, 0.5612, 0.9240)  2 N 2.23-2.31
Hf (0.9240, 0.2203, 0.5612)  2 N 2.23-2.31
Hf (0.5612, 0.9240, 0.2203)  2 N 2.23-2.31
Hf (0.7797, 0.4388, 0.0760)  2 N 2.23-2.31
N (0.1599, 0.1599, 0.1599)  6 Hf 2.23-2.31
N (0.8401, 0.8401, 0.8401)  6 Hf 2.23-2.31

## Properties
Volume   89.5 Å³/f.u.
Calculated total energy   -10.2214 eV/atom
SG   No. 148
Formation energy without anion corrections   -0.812 eV per atom
Magnetic moment   0.00 μB per cell

Crystalline Hf3IrN at its relaxed geometry. Source: Alexandria via LeMat-Bulk, functional PBE-GGA.

a = 22.7747 Å, b = 5.5921 Å, c = 8.8442 Å
α = 90.00°, β = 162.74°, γ = 90.00°
Last column: nearest neighbours and their distance in Å.
Fractional coordinates of all 20 atoms:
Ir (0.0115, 0.1601, 0.4176)  1 Ir 2.66, 6 Hf 2.68-2.96
Ir (0.9885, 0.8399, 0.5824)  1 Ir 2.66, 6 Hf 2.68-2.96
Ir (0.4885, 0.6601, 0.0824)  1 Ir 2.66, 6 Hf 2.68-2.96
Ir (0.5115, 0.3399, 0.9176)  1 Ir 2.66, 6 Hf 2.68-2.96
Hf (0.2884, 0.9150, 0.9275)  3 N 2.21-2.33
Hf (0.7116, 0.0850, 0.0725)  3 N 2.21-2.33
Hf (0.2116, 0.4150, 0.5725)  3 N 2.21-2.33
Hf (0.7884, 0.5850, 0.4275)  3 N 2.21-2.33
Hf (0.3517, 0.4173, 0.2522)  2 N 2.23-2.25
Hf (0.6483, 0.5827, 0.7478)  2 N 2.23-2.25
Hf (0.1483, 0.9173, 0.2478)  2 N 2.23-2.25
Hf (0.8517, 0.0827, 0.7522)  2 N 2.23-2.25
Hf (0.4031, 0.8867, 0.5775)  1 N 2.28
Hf (0.5969, 0.1133, 0.4225)  1 N 2.28
Hf (0.0969, 0.3867, 0.9225)  1 N 2.28
Hf (0.9031, 0.6133, 0.0775)  1 N 2.28
N (0.5250, 0.7586, 0.6507)  6 Hf 2.21-2.33
N (0.4750, 0.2414, 0.3493)  6 Hf 2.21-2.33
N (0.9750, 0.2586, 0.8493)  6 Hf 2.21-2.33
N (0.0250, 0.7414, 0.1507)  6 Hf 2.21-2.33

## Properties
Volume   83.6 Å³/f.u.
Calculated total energy   -10.4963 eV/atom
SG   No. 14
Formation energy without anion corrections   -1.087 eV per atom
Magnetic moment   0.00 μB per cell

Crystalline Hf7Ir2N2 at its relaxed geometry. Source: Alexandria via LeMat-Bulk, functional PBE-GGA.

a = 6.1642 Å, b = 5.6052 Å, c = 6.1642 Å
α = 87.26°, β = 113.56°, γ = 92.74°
Last column: nearest neighbours and their distance in Å.
Fractional coordinates of all 11 atoms:
Hf (0.9279, 0.2401, 0.5203)  2 N 2.24-2.26
Hf (0.5203, 0.7599, 0.9279)  2 N 2.24-2.26
Hf (0.0721, 0.7599, 0.4797)  2 N 2.24-2.26
Hf (0.4797, 0.2401, 0.0721)  2 N 2.24-2.26
Hf (0.0000, 0.0000, 0.0000)  2 N 2.38
Hf (0.5673, 0.7678, 0.4327)  1 N 2.31
Hf (0.4327, 0.2322, 0.5673)  1 N 2.31
Ir (0.8102, 0.5000, 0.8102)  1 Ir 2.56, 4 Hf 2.65-2.69
Ir (0.1898, 0.5000, 0.1898)  1 Ir 2.56, 4 Hf 2.65-2.69
N (0.7686, 0.9716, 0.2314)  6 Hf 2.24-2.38
N (0.2314, 0.0284, 0.7686)  6 Hf 2.24-2.38

## Properties
Volume   194.9 Å³/f.u.
Calculated total energy   -10.2035 eV/atom
SG   No. 12
Formation energy without anion corrections   -0.745 eV per atom
Magnetic moment   0.00 μB per cell

Crystalline Hf3IrN at its relaxed geometry. Source: Alexandria via LeMat-Bulk, functional PBE-GGA.

a = 4.9494 Å, b = 4.9494 Å, c = 10.1103 Å
α = 75.83°, β = 75.83°, γ = 90.00°
Last column: nearest neighbours and their distance in Å.
Fractional coordinates of all 10 atoms:
Ir (0.0000, 0.0000, 0.0000)  4 Hf 2.57
Ir (0.2500, 0.7500, 0.5000)  8 Hf 2.65-2.78
Hf (0.1266, 0.8806, 0.2387)  2 Hf 2.44-2.51, 1 Ir 2.57
Hf (0.1194, 0.8734, 0.7613)  2 Hf 2.44-2.51, 1 Ir 2.57
Hf (0.1194, 0.3654, 0.7613)  2 Hf 2.44-2.51, 1 Ir 2.57
Hf (0.6346, 0.8806, 0.2387)  2 Hf 2.44-2.51, 1 Ir 2.57
Hf (0.3000, 0.3000, 0.4000)  2 N 2.58, 2 Ir 2.65
Hf (0.7000, 0.7000, 0.6000)  2 N 2.58, 2 Ir 2.65
N (0.6608, 0.1608, 0.6785)  6 Hf 2.58-2.87
N (0.8392, 0.3392, 0.3215)  6 Hf 2.58-2.87

## Properties
Volume   116.2 Å³/f.u.
Calculated total energy   -8.5971 eV/atom
SG   No. 119
Formation energy without anion corrections   0.812 eV per atom
Magnetic moment   0.00 μB per cell

Crystalline HfIr3N at its relaxed geometry. Source: Alexandria via LeMat-Bulk, functional PBE-GGA.

a = 4.8918 Å, b = 4.8918 Å, c = 4.8918 Å
α = 90.00°, β = 90.00°, γ = 90.00°
Last column: nearest neighbours and their distance in Å.
Fractional coordinates of all 5 atoms:
Ir (0.0000, 0.5000, 0.0000)  2 Hf 2.45
Ir (0.0000, 0.0000, 0.5000)  2 Hf 2.45
Ir (0.5000, 0.0000, 0.0000)  2 Hf 2.45
Hf (0.0000, 0.0000, 0.0000)  6 Ir 2.45
N (0.5000, 0.5000, 0.5000)  12 Ir 3.46

## Properties
Energy relative to the lowest polymorph listed for this composition   2701 meV/atom
Volume   117.1 Å³/f.u.
Calculated total energy   -6.2177 eV/atom
SG   No. 221
Formation energy without anion corrections   2.755 eV per atom
Magnetic moment   4.21 μB per cell